i:
{
  "formula": "SrCoF3",
  "functional": "GGA+U",
  "state": "optimized geometry",
  "spacegroup": "Pm-3m (221)",
  "n_ef_per_ev_fu": 0.138,
  "cell": [[4.706, 0.000, 0.000], [0.000, 4.706, 0.000], [0.000, 0.000, 4.706]],
  "species": ["Sr", "Co", "F", "F", "F"],
  "frac_coords": [[0.000, 0.000, 0.000], [0.500, 0.500, 0.500], [0.000, 0.000, 0.500], [0.000, 0.500, 0.000], [0.500, 0.000, 0.000]]
}

***

ii:
{
  "formula": "SrCoF3",
  "functional": "GGA+U",
  "state": "optimized geometry",
  "spacegroup": "Pm-3m (221)",
  "n_ef_per_ev_fu": 3.829,
  "cell": [[4.171, 0.000, 0.000], [0.000, 4.171, 0.000], [0.000, 0.000, 4.171]],
  "species": ["Sr", "Co", "F", "F", "F"],
  "frac_coords": [[0.000, 0.000, 0.000], [0.500, 0.500, 0.500], [0.000, 0.500, 0.500], [0.500, 0.000, 0.500], [0.500, 0.500, 0.000]]
}

***

The calculated energies rank the structures as follows, beginning with the most stable: ii, i.

***

i:
{
  "formula": "SrCo2F",
  "functional": "GGA+U",
  "state": "optimized geometry",
  "spacegroup": "Fm-3m (225)",
  "n_ef_per_ev_fu": 2.467,
  "cell": [[7.216, 0.000, 0.000], [0.000, 7.216, 0.000], [0.000, 0.000, 7.216]],
  "species": ["Sr", "Sr", "Sr", "Sr", "Co", "Co", "Co", "Co", "Co", "Co", "Co", "Co", "F", "F", "F", "F"],
  "frac_coords": [[0.000, 0.000, 0.000], [0.000, 0.500, 0.500], [0.500, 0.000, 0.500], [0.500, 0.500, 0.000], [0.250, 0.250, 0.250], [0.250, 0.250, 0.750], [0.250, 0.750, 0.250], [0.250, 0.750, 0.750], [0.750, 0.250, 0.250], [0.750, 0.250, 0.750], [0.750, 0.750, 0.250], [0.750, 0.750, 0.750], [0.000, 0.000, 0.500], [0.000, 0.500, 0.000], [0.500, 0.000, 0.000], [0.500, 0.500, 0.500]]
}

***

ii:
{
  "formula": "SrCo2F",
  "functional": "GGA+U",
  "state": "optimized geometry",
  "spacegroup": "I4_1/amd (141)",
  "n_ef_per_ev_fu": 1.772,
  "cell": [[4.461, 0.000, 0.000], [0.000, 4.461, 0.000], [0.000, 0.000, 18.103]],
  "species": ["Sr", "Sr", "Sr", "Sr", "Co", "Co", "Co", "Co", "Co", "Co", "Co", "Co", "F", "F", "F", "F"],
  "frac_coords": [[0.000, 0.250, 0.375], [0.000, 0.750, 0.625], [0.500, 0.250, 0.125], [0.500, 0.750, 0.875], [0.000, 0.000, 0.000], [0.000, 0.500, 0.000], [0.250, 0.250, 0.750], [0.250, 0.750, 0.250], [0.500, 0.000, 0.500], [0.500, 0.500, 0.500], [0.750, 0.250, 0.750], [0.750, 0.750, 0.250], [0.000, 0.250, 0.875], [0.000, 0.750, 0.125], [0.500, 0.250, 0.625], [0.500, 0.750, 0.375]]
}

***

The calculated energies rank the structures as follows, beginning with the most stable: ii, i.

***

i:
{
  "formula": "SrCo3F",
  "functional": "GGA+U",
  "state": "optimized geometry",
  "spacegroup": "Pm-3m (221)",
  "n_ef_per_ev_fu": 3.140,
  "cell": [[4.505, 0.000, 0.000], [0.000, 4.505, 0.000], [0.000, 0.000, 4.505]],
  "species": ["Sr", "Co", "Co", "Co", "F"],
  "frac_coords": [[0.000, 0.000, 0.000], [0.000, 0.500, 0.500], [0.500, 0.000, 0.500], [0.500, 0.500, 0.000], [0.500, 0.500, 0.500]]
}

***

ii:
{
  "formula": "SrCo3F",
  "functional": "GGA+U",
  "state": "optimized geometry",
  "spacegroup": "Pm-3m (221)",
  "n_ef_per_ev_fu": 2.901,
  "cell": [[5.789, 0.000, 0.000], [0.000, 5.789, 0.000], [0.000, 0.000, 5.789]],
  "species": ["Sr", "Co", "Co", "Co", "F"],
  "frac_coords": [[0.000, 0.000, 0.000], [0.000, 0.000, 0.500], [0.000, 0.500, 0.000], [0.500, 0.000, 0.000], [0.500, 0.500, 0.500]]
}

***

The calculated energies rank the structures as follows, beginning with the most stable: i, ii.